Record 1
Below is a relaxed CeTm2Tl9 crystal, with properties calculated at the PBE-GGA level.

energy relative to the elements	-0.200	eV/atom

a = 4.7816 Å, b = 4.7816 Å, c = 14.3165 Å
α = 90.00°, β = 90.00°, γ = 90.00°
Closest atoms and distances in Å follow each position.
Space group P4/mmm (No. 123)
One atom of each set of equivalent atoms:
1 Ce 0.0000 0.0000 0.0000 (multiplicity 1)  12 Tl 3.38-3.42
2 Tm 0.0000 0.0000 0.3355 (multiplicity 2)  12 Tl 3.36-3.38
3 Tl 0.0000 0.5000 0.1707 (multiplicity 4)  8 Tl 3.35-3.42, 2 Tm 3.36, 2 Ce 3.42
4 Tl 0.0000 0.5000 0.5000 (multiplicity 2)  4 Tm 3.36, 8 Tl 3.37-3.38
5 Tl 0.5000 0.5000 0.0000 (multiplicity 1)  4 Ce 3.38, 8 Tl 3.42
6 Tl 0.5000 0.5000 0.3343 (multiplicity 2)  8 Tl 3.35-3.37, 4 Tm 3.38

=====

Record 2
Below is a relaxed Ce2Tm2Tl3 crystal, with properties calculated at the PBE-GGA level.

energy relative to the elements	-0.192	eV/atom
distance to the lowest polymorph of the same formula	0	meV/atom

a = 4.3577 Å, b = 24.6350 Å, c = 3.4785 Å
α = 90.00°, β = 90.00°, γ = 90.00°
Closest atoms and distances in Å follow each position.
Space group Cmmm (No. 65)
One atom of each set of equivalent atoms:
1 Ce 0.0000 0.2147 0.0000 (multiplicity 4)  2 Ce 2.79
2 Tm 0.0000 0.0712 0.0000 (multiplicity 4)  8 Tl 3.27-3.29, 3 Tm 3.48-3.51, 1 Ce 3.53
3 Tl 0.0000 0.3594 0.5000 (multiplicity 4)  4 Tm 3.27, 4 Ce 3.33, 3 Tl 3.46-3.48
4 Tl 0.0000 0.5000 0.5000 (multiplicity 2)  8 Tm 3.29, 4 Tl 3.46-3.48

=====

Record 3
Below is a relaxed CeTm7Tl4 crystal, with properties calculated at the PBE-GGA level.

energy relative to the elements	0.023	eV/atom

a = 14.8596 Å, b = 5.6551 Å, c = 9.6306 Å
α = 90.00°, β = 121.07°, γ = 90.00°
Closest atoms and distances in Å follow each position.
Space group C2/m (No. 12)
One atom of each set of equivalent atoms:
1 Ce 0.0000 0.0000 0.0000 (multiplicity 2)  2 Tm 2.83
2 Tm 0.0000 0.5000 0.0000 (multiplicity 2)  2 Ce 2.83, 2 Tl 2.98
3 Tm 0.0716 0.0000 0.4119 (multiplicity 4)  5 Tl 3.17-3.53, 3 Tm 3.34-3.53, 1 Ce 3.54
4 Tm 0.2000 0.0000 0.8774 (multiplicity 4)  3 Tl 3.33-3.42, 6 Tm 3.49-3.69, 1 Ce 3.72
5 Tm 0.2473 0.5000 0.7036 (multiplicity 4)  4 Tl 2.97-3.13
6 Tl 0.0521 0.5000 0.7166 (multiplicity 4)  4 Tm 2.97-3.25, 1 Tl 3.25
7 Tl 0.1829 0.5000 0.3383 (multiplicity 4)  6 Tm 2.98-3.33, 1 Tl 3.25

=====

Record 4
Below is a relaxed Ce2Tm2Tl3 crystal, with properties calculated at the PBE-GGA level.

energy relative to the elements	-0.101	eV/atom
distance to the lowest polymorph of the same formula	91	meV/atom

a = 5.3201 Å, b = 5.4652 Å, c = 14.7465 Å
α = 90.00°, β = 90.00°, γ = 90.00°
Closest atoms and distances in Å follow each position.
Space group Immm (No. 71)
One atom of each set of equivalent atoms:
1 Ce 0.0000 0.0000 0.1238 (multiplicity 4)  6 Tl 3.23-3.33
2 Tm 0.0000 0.0000 0.3804 (multiplicity 4)  6 Tl 3.19-3.32, 1 Tm 3.53
3 Tl 0.0000 0.5000 0.0000 (multiplicity 2)  4 Tm 3.19, 4 Ce 3.29
4 Tl 0.0000 0.5000 0.2525 (multiplicity 4)  4 Ce 3.23-3.33, 4 Tm 3.30-3.32

=====

Record 5
Below is a relaxed Ce3Tm2Tl4 crystal, with properties calculated at the PBE-GGA level.

energy relative to the elements	-0.213	eV/atom

a = 5.3335 Å, b = 5.3539 Å, c = 10.2401 Å
α = 88.26°, β = 89.88°, γ = 60.25°
Closest atoms and distances in Å follow each position.
Space group P-1 (No. 2)
One atom of each set of equivalent atoms:
1 Ce 0.0000 0.0000 0.0000 (multiplicity 1)  8 Tl 3.27-3.47
2 Ce 0.3666 0.2681 0.4386 (multiplicity 2)  1 Ce 2.75
3 Tm 0.3212 0.3563 0.7767 (multiplicity 2)  7 Tl 3.26-3.40, 1 Ce 3.50
4 Tl 0.0262 0.9487 0.3385 (multiplicity 2)  4 Ce 3.24-3.47, 3 Tm 3.26-3.40, 1 Tl 3.36
5 Tl 0.3386 0.3237 0.1082 (multiplicity 2)  4 Ce 3.27-3.38, 4 Tm 3.29-3.39

=====

Record 6
Below is a relaxed Ce4TmTl5 crystal, with properties calculated at the PBE-GGA level.

energy relative to the elements	-0.253	eV/atom

a = 3.4930 Å, b = 3.4930 Å, c = 22.9867 Å
α = 90.00°, β = 90.00°, γ = 90.00°
Closest atoms and distances in Å follow each position.
Space group P4/mmm (No. 123)
One atom of each set of equivalent atoms:
1 Ce 0.0000 0.0000 0.1020 (multiplicity 2)  8 Tl 3.40-3.41, 4 Ce 3.49
2 Ce 0.0000 0.0000 0.3054 (multiplicity 2)  8 Tl 3.39-3.40, 4 Ce 3.49
3 Tm 0.0000 0.0000 0.5000 (multiplicity 1)  8 Tl 3.28, 4 Tm 3.49
4 Tl 0.5000 0.5000 0.0000 (multiplicity 1)  8 Ce 3.41, 4 Tl 3.49
5 Tl 0.5000 0.5000 0.2036 (multiplicity 2)  8 Ce 3.40, 4 Tl 3.49
6 Tl 0.5000 0.5000 0.4062 (multiplicity 2)  4 Tm 3.28, 4 Ce 3.39, 4 Tl 3.49

=====

Record 7
Below is a relaxed CeTm3Tl4 crystal, with properties calculated at the PBE-GGA level.

energy relative to the elements	-0.272	eV/atom

a = 10.7219 Å, b = 7.6121 Å, c = 5.3640 Å
α = 90.00°, β = 90.00°, γ = 90.00°
Closest atoms and distances in Å follow each position.
Space group Pmma (No. 51)
One atom of each set of equivalent atoms:
1 Ce 0.0000 0.0000 0.0000 (multiplicity 2)  8 Tl 3.33
2 Tm 0.0000 0.5000 0.0000 (multiplicity 2)  8 Tl 3.25
3 Tm 0.2500 0.0000 0.4991 (multiplicity 2)  8 Tl 3.33
4 Tm 0.2500 0.5000 0.4990 (multiplicity 2)  8 Tl 3.25
5 Tl 0.0000 0.2589 0.5000 (multiplicity 4)  6 Tm 3.25-3.33, 2 Ce 3.33
6 Tl 0.2500 0.2590 0.9989 (multiplicity 4)  6 Tm 3.25-3.33, 2 Ce 3.33

=====

Record 8
Below is a relaxed Ce2TmTl3 crystal, with properties calculated at the PBE-GGA level.

energy relative to the elements	-0.261	eV/atom

a = 3.5132 Å, b = 3.5132 Å, c = 13.5338 Å
α = 90.00°, β = 90.00°, γ = 90.00°
Closest atoms and distances in Å follow each position.
Space group P4/mmm (No. 123)
One atom of each set of equivalent atoms:
1 Ce 0.0000 0.0000 0.1718 (multiplicity 2)  8 Tl 3.39-3.40, 4 Ce 3.51
2 Tm 0.0000 0.0000 0.5000 (multiplicity 1)  8 Tl 3.28, 4 Tm 3.51
3 Tl 0.5000 0.5000 0.0000 (multiplicity 1)  8 Ce 3.40, 4 Tl 3.51
4 Tl 0.5000 0.5000 0.3420 (multiplicity 2)  4 Tm 3.28, 4 Ce 3.39, 4 Tl 3.51

=====

energy relative to the elements of number 7 (CeTm3Tl4)? -0.272 eV/atom